Model 1:
A geometry-optimized Sc2ZnSb2 structure, computed with PBE.

- theoretical density (g/cm3) = 5.756

Cell lengths 7.6724, 7.6724, 3.9095 Å; angles 90.00, 90.00, 90.00 degrees
With the nearest neighbours (Å) after each atom.
Space group P4/mbm (No. 127)
Unique sites:
Sc 0.1507 0.3493 0.0000 x4  6 Sb 2.87-3.05
Zn 0.0000 0.0000 0.5000 x2  4 Sb 2.90
Sb 0.1550 0.6550 0.5000 x4  6 Sc 2.87-3.05, 2 Zn 2.90

***

Model 2:
A geometry-optimized Sc2ZnSb2 structure, computed with PBE.

- theoretical density (g/cm3) = 5.663

Cell lengths 7.7187, 7.7187, 3.9258 Å; angles 90.00, 90.00, 90.00 degrees
With the nearest neighbours (Å) after each atom.
Space group P4/mbm (No. 127)
Unique sites:
Sc 0.1474 0.3526 0.0000 x4  6 Sb 2.88-3.08, 2 Zn 2.95, 1 Sc 3.22
Zn 0.0000 0.0000 0.0000 x2  4 Sc 2.95
Sb 0.1596 0.6596 0.5000 x4  6 Sc 2.88-3.08

***

The structure with the most favorable energy is model 2; the runner-up is 21 meV per atom above it.

***

Model 1:
A geometry-optimized SbSe3 structure, computed with PBE.

- theoretical density (g/cm3) = 6.047

Cell lengths 4.1981, 4.1981, 19.3570 Å; angles 90.00, 90.00, 120.00 degrees
With the nearest neighbours (Å) after each atom.
Space group R-3m (No. 166, hexagonal axes)
Unique sites:
Sb 0.0000 0.0000 0.0000 x3  6 Se 2.91
Se 0.0000 0.0000 0.2500 x6  3 Sb 2.91, 3 Se 2.91
Se 0.0000 0.0000 0.5000 x3  6 Se 2.91

***

Model 2:
A geometry-optimized SbSe3 structure, computed with PBE.

- theoretical density (g/cm3) = 5.976

Cell lengths 7.7241, 7.7241, 3.8576 Å; angles 90.00, 90.00, 120.00 degrees
With the nearest neighbours (Å) after each atom.
Space group P6_3/mmc (No. 194)
Unique sites:
Sb 0.3333 0.6667 0.2500 x2  6 Se 2.88
Se 0.1737 0.3475 0.7500 x6  2 Sb 2.88, 4 Se 3.02

***

Model 3:
A geometry-optimized SbSe3 structure, computed with PBE.

- theoretical density (g/cm3) = 5.382

Cell lengths 3.8226, 3.8226, 30.2883 Å; angles 90.00, 90.00, 90.00 degrees
With the nearest neighbours (Å) after each atom.
Space group I4/mmm (No. 139)
Unique sites:
Sb 0.0000 0.0000 0.1616 x4  4 Se 2.91
Se 0.0000 0.0000 0.3739 x4  4 Sb 2.91
Se 0.0000 0.5000 0.0000 x4  4 Se 2.70
Se 0.0000 0.5000 0.2500 x4  4 Se 2.70

***

The structure with the most favorable energy is model 1; the runner-up is 27 meV per atom above it.

***

Model 1:
A geometry-optimized SbSe3 structure, computed with PBE.

- theoretical density (g/cm3) = 6.637

Cell lengths 5.6406, 5.6406, 5.6406 Å; angles 90.00, 90.00, 90.00 degrees
With the nearest neighbours (Å) after each atom.
Space group Pm-3n (No. 223)
Unique sites:
Sb 0.0000 0.0000 0.0000 x2  12 Se 3.15
Se 0.0000 0.2500 0.5000 x6  2 Se 2.82, 4 Sb 3.15

***

Model 2:
A geometry-optimized SbSe3 structure, computed with PBE.

- theoretical density (g/cm3) = 5.675

Cell lengths 4.2017, 5.7521, 4.3817 Å; angles 90.00, 97.71, 90.00 degrees
With the nearest neighbours (Å) after each atom.
Space group P2/m (No. 10)
Unique sites:
Sb 0.0000 0.0000 0.0000 x1  6 Se 2.82-3.16
Se 0.1441 0.5000 0.7510 x2  2 Se 2.36-2.63
Se 0.5000 0.0000 0.5000 x1  2 Sb 2.82

***

Model 3:
A geometry-optimized SbSe3 structure, computed with PBE.

- theoretical density (g/cm3) = 5.300

Cell lengths 12.6858, 3.8947, 4.8582 Å; angles 90.00, 110.57, 90.00 degrees
With the nearest neighbours (Å) after each atom.
Space group C2/m (No. 12)
Unique sites:
Sb 0.0000 0.0000 0.0000 x2  8 Se 2.92-3.11
Se 0.0000 0.5000 0.5000 x2  2 Se 2.65
Se 0.1722 0.5000 0.3111 x4  3 Se 2.65-2.92, 2 Sb 2.92

***

Model 4:
A geometry-optimized SbSe3 structure, computed with PBE.

- theoretical density (g/cm3) = 6.718

Cell lengths 7.0780, 7.0780, 7.0780 Å; angles 90.00, 90.00, 90.00 degrees
With the nearest neighbours (Å) after each atom.
Space group Fm-3m (No. 225)
Unique sites:
Sb 0.0000 0.0000 0.0000 x4  8 Se 3.06
Se 0.0000 0.0000 0.5000 x4  8 Se 3.06
Se 0.2500 0.2500 0.2500 x8  4 Se 3.06, 4 Sb 3.06

***

The structure with the most favorable energy is model 3; the runner-up is 41 meV per atom above it.

***

Model 1:
A geometry-optimized SbSe5 structure, computed with PBE.

- theoretical density (g/cm3) = 4.763

Cell lengths 11.1068, 3.6020, 9.0234 Å; angles 90.00, 93.91, 90.00 degrees
With the nearest neighbours (Å) after each atom.
Space group Cm (No. 8)
Unique sites:
Sb 0.0000 0.0000 0.0000 x2  2 Se 2.66
Se 0.0633 0.5000 0.4117 x2  1 Se 2.33
Se 0.1760 0.5000 0.0041 x2  2 Sb 2.66
Se 0.3614 0.0000 0.7535 x2  2 Se 2.56
Se 0.4025 0.0000 0.2315 x2  1 Se 2.33
Se 0.4631 0.5000 0.6039 x2  4 Se 2.56-2.78

***

Model 2:
A geometry-optimized SbSe5 structure, computed with PBE.

- theoretical density (g/cm3) = 5.052

Cell lengths 7.7316, 11.3123, 3.8826 Å; angles 90.00, 90.00, 90.00 degrees
With the nearest neighbours (Å) after each atom.
Space group Cmmm (No. 65)
Unique sites:
Sb 0.0000 0.0000 0.0000 x2  4 Se 2.75
Se 0.0000 0.1719 0.5000 x4  2 Se 2.74, 2 Sb 2.75
Se 0.0000 0.3433 0.0000 x4  4 Se 2.63-2.74
Se 0.0000 0.5000 0.5000 x2  4 Se 2.63

***

Model 3:
A geometry-optimized SbSe5 structure, computed with PBE.

- theoretical density (g/cm3) = 4.429

Cell lengths 5.2269, 5.2269, 8.1861 Å; angles 90.00, 90.00, 120.00 degrees
With the nearest neighbours (Å) after each atom.
Space group P6/mmm (No. 191)
Unique sites:
Sb 0.0000 0.0000 0.0000 x1  6 Se 3.02
Se 0.0000 0.5000 0.5000 x3  4 Se 2.61
Se 0.3333 0.6667 0.0000 x2  3 Sb 3.02, 3 Se 3.02

***

Model 4:
A geometry-optimized SbSe5 structure, computed with PBE.

- theoretical density (g/cm3) = 5.129

Cell lengths 3.8073, 3.7696, 23.3055 Å; angles 90.00, 90.00, 90.00 degrees
With the nearest neighbours (Å) after each atom.
Space group Amm2 (No. 38)
Unique sites:
Sb 0.0000 0.0000 0.0000 x2  8 Se 2.92-3.16
Se 0.0000 0.0000 0.3913 x2  4 Se 2.68
Se 0.0000 0.0000 0.7101 x2  4 Se 2.71
Se 0.5000 0.0000 0.2288 x2  4 Se 2.71
Se 0.5000 0.0000 0.5503 x2  4 Sb 2.92
Se 0.5000 0.0000 0.8940 x2  4 Se 2.68

***

The structure with the most favorable energy is model 1; the runner-up is 44 meV per atom above it.

***

Model 1:
A geometry-optimized Sb3Se structure, computed with PBE.

- theoretical density (g/cm3) = 7.139

Cell lengths 4.6926, 4.6926, 4.6926 Å; angles 90.00, 90.00, 90.00 degrees
With the nearest neighbours (Å) after each atom.
Space group Pm-3m (No. 221)
Unique sites:
Sb 0.0000 0.0000 0.5000 x3  4 Se 3.32, 8 Sb 3.32
Se 0.5000 0.5000 0.5000 x1  12 Sb 3.32

***

Model 2:
A geometry-optimized Sb3Se structure, computed with PBE.

- theoretical density (g/cm3) = 6.555

Cell lengths 4.0313, 4.0369, 6.9155 Å; angles 90.00, 90.00, 90.00 degrees
With the nearest neighbours (Å) after each atom.
Space group Pmm2 (No. 25)
Unique sites:
Sb 0.0000 0.0000 0.0000 x1  4 Se 3.04, 2 Sb 3.09
Sb 0.0000 0.5000 0.3386 x1  6 Sb 3.09-3.11
Sb 0.5000 0.0000 0.5165 x1  2 Se 3.05, 4 Sb 3.11
Se 0.5000 0.5000 0.8478 x1  6 Sb 3.04-3.05

***

Model 3:
A geometry-optimized Sb3Se structure, computed with PBE.

- theoretical density (g/cm3) = 6.456

Cell lengths 5.2264, 4.3831, 5.2750 Å; angles 90.00, 108.98, 90.00 degrees
With the nearest neighbours (Å) after each atom.
Space group P2/m (No. 10)
Unique sites:
Sb 0.0000 0.0000 0.0000 x1  2 Se 3.05, 4 Sb 3.08
Sb 0.2571 0.5000 0.7516 x2  4 Sb 3.00-3.10, 2 Se 3.05
Se 0.5000 0.0000 0.5000 x1  6 Sb 3.05

***

The structure with the most favorable energy is model 3; the runner-up is 98 meV per atom above it.